1.
PmErCoGe (GGA-PBE, optimized geometry); E_form = -0.355 eV/atom
1.0
-2.514 0.290 -4.269
2.310 -0.877 -4.304
-1.017 -4.124 -2.566
Ge Pm Co Er
1 1 1 1
Direct
0.000 0.000 0.000
0.250 0.250 0.250
0.500 0.500 0.500
0.750 0.750 0.750

=====

2.
TaTe2Mo (GGA-PBE, optimized geometry); E above lowest polymorph = 465 meV/atom; formation energy without anion corrections = 0.28 eV/atom
1.0
-3.255 0.033 -0.897
0.846 -1.012 -3.109
-0.600 -6.460 1.940
Mo Ta Te
1 1 2
Direct
0.500 0.500 0.250
0.500 0.500 0.750
0.000 0.000 0.002
0.000 0.000 0.498

=====

3.
Pm4Nd19Ho6 (GGA-PBE, optimized geometry); E_form = 0.363 eV/atom
1.0
-6.343 8.410 3.262
-5.364 -9.496 1.627
9.361 -0.020 5.829
Pm Nd Ho
4 19 6
Direct
0.000 0.000 0.636
0.000 0.636 0.000
0.364 0.364 0.364
0.636 0.000 0.000
0.740 0.000 0.740
0.260 0.000 0.260
0.260 0.260 0.000
0.740 0.740 0.000
0.000 0.740 0.740
0.000 0.260 0.260
0.000 0.000 0.000
0.202 0.221 0.545
0.798 0.342 0.019
0.677 0.658 0.455
0.019 0.798 0.342
0.323 0.779 0.981
0.545 0.202 0.221
0.981 0.323 0.779
0.455 0.677 0.658
0.779 0.981 0.323
0.342 0.019 0.798
0.221 0.545 0.202
0.658 0.455 0.677
0.376 0.500 0.876
0.624 0.500 0.124
0.124 0.624 0.500
0.876 0.376 0.500
0.500 0.876 0.376
0.500 0.124 0.624

=====

4.
TiIrIN2 (GGA-PBE, optimized geometry); E above lowest polymorph = 13 meV/atom; formation energy without anion corrections = 0.97 eV/atom
1.0
-2.527 2.900 0.352
-1.498 -1.685 3.136
3.965 3.028 3.521
I N Ir Ti
1 2 1 1
Direct
0.000 0.000 0.500
0.000 0.500 0.000
0.500 0.000 0.000
0.500 0.500 0.500
0.000 0.000 0.000

=====

5.
CaAl8Ni2 (GGA-PBE, optimized geometry); E_form = -0.391 eV/atom; E above lowest polymorph = 0 meV/atom
1.0
-0.767 2.623 2.862
-13.107 2.501 -5.805
-4.888 -9.163 7.088
Al Ca Ni
32 4 8
Direct
0.000 0.000 0.000
0.000 0.500 0.500
0.500 0.500 0.000
0.500 0.000 0.500
0.000 0.955 0.341
0.000 0.045 0.659
0.000 0.455 0.159
0.000 0.545 0.841
0.000 0.747 0.100
0.000 0.253 0.900
0.000 0.247 0.400
0.000 0.753 0.600
0.500 0.827 0.239
0.500 0.173 0.761
0.500 0.327 0.261
0.500 0.673 0.739
0.500 0.820 0.453
0.500 0.180 0.547
0.500 0.320 0.047
0.500 0.680 0.953
0.500 0.620 0.163
0.500 0.380 0.837
0.500 0.120 0.337
0.500 0.880 0.663
0.500 0.511 0.333
0.500 0.489 0.667
0.500 0.011 0.167
0.500 0.989 0.833
0.500 0.868 0.025
0.500 0.132 0.975
0.500 0.368 0.475
0.500 0.632 0.525
0.000 0.682 0.342
0.000 0.318 0.658
0.000 0.182 0.158
0.000 0.818 0.842
0.000 0.594 0.036
0.000 0.406 0.964
0.000 0.094 0.464
0.000 0.906 0.536
0.000 0.904 0.155
0.000 0.096 0.845
0.000 0.404 0.345
0.000 0.596 0.655

=====

6.
AgP2Ir (GGA-PBE, optimized geometry); E_form = 0.490 eV/atom; E above lowest polymorph = 538 meV/atom
1.0
5.062 0.021 0.000
2.279 4.520 0.000
-3.670 -2.271 2.645
Ag Ir P
1 1 2
Direct
0.500 0.500 0.000
0.750 0.250 0.500
0.000 0.000 0.000
0.250 0.750 0.500